DFT (PBE+U) results for an optimized crystal structure of RbCr2AsO8.

The structure in POSCAR format:
```
RbCr2AsO8
1.0
4.489 -2.818 0.000
4.489 2.818 0.000
-0.685 0.000 8.270
Rb Cr As O
1 2 1 8
direct
0.000 0.000 0.000
0.372 0.372 0.701
0.628 0.628 0.299
0.000 0.000 0.500
0.228 0.228 0.559
0.231 0.724 0.680
0.276 0.769 0.320
0.314 0.314 0.881
0.686 0.686 0.119
0.724 0.231 0.680
0.769 0.276 0.320
0.772 0.772 0.441
```

Calculated values
- V (Å³/atom) = 17.4
- symmetry = C2/m, No. 12
- VASP energy (eV/atom) = -6.308
- total magnetization (μB per cell) = 0.00